Below is LaTe2Ir at its PBEsol-relaxed geometry, with properties calculated at the SCAN level.

Values from the calculation:
Polymorph energy (0 for the lowest one) = 325 meV per atom
Calculated volume = 99 Å³/f.u.
DOS(E_F) = 2.2 states/eV/cell
Total magnetization = 0.000 μB/atom
Raw formation energy = -0.576 eV/atom

Geometry as CIF:
```
data_LaTe2Ir
_cell_length_a 3.887
_cell_length_b 3.887
_cell_length_c 6.578
_cell_angle_alpha 90.00
_cell_angle_beta 90.00
_cell_angle_gamma 90.00
_space_group_name_H-M_alt 'P 4 m m'
_space_group_IT_number 99
loop_
_space_group_symop_operation_xyz
'x,y,z'
'-y,x,z'
'-x,-y,z'
'y,-x,z'
'-x,y,z'
'y,x,z'
'x,-y,z'
'-y,-x,z'
loop_
_atom_site_label
_atom_site_type_symbol
_atom_site_fract_x
_atom_site_fract_y
_atom_site_fract_z
La1 La 0.000 0.000 0.000
Te1 Te 0.000 0.000 0.542
Te2 Te 0.500 0.500 0.222
Ir1 Ir 0.500 0.500 0.638
```



Below is LaTe2Ir at its PBEsol-relaxed geometry, with properties calculated at the SCAN level.

Values from the calculation:
Polymorph energy (0 for the lowest one) = 0 meV per atom
Calculated volume = 102 Å³/f.u.
DOS(E_F) = 5.3 states/eV/cell
Total magnetization = 0.000 μB/atom
Raw formation energy = -0.901 eV/atom

Geometry as CIF:
```
data_LaTe2Ir
_cell_length_a 7.966
_cell_length_b 7.966
_cell_length_c 6.459
_cell_angle_alpha 90.00
_cell_angle_beta 90.00
_cell_angle_gamma 90.00
_space_group_name_H-M_alt 'I -4 2 d'
_space_group_IT_number 122
_space_group_name_Hall 'I -4 2bw'
loop_
_atom_site_label
_atom_site_type_symbol
_atom_site_fract_x
_atom_site_fract_y
_atom_site_fract_z
La1 La 0.000 0.000 0.000
Te1 Te 0.178 0.250 0.625
Ir1 Ir 0.000 0.000 0.500
```



Below is LaTe2Ir at its PBEsol-relaxed geometry, with properties calculated at the SCAN level.

Values from the calculation:
Polymorph energy (0 for the lowest one) = 319 meV per atom
Calculated volume = 100 Å³/f.u.
DOS(E_F) = 11.5 states/eV/cell
Total magnetization = 0.000 μB/atom
Raw formation energy = -0.582 eV/atom

Geometry as CIF:
```
data_LaTe2Ir
_cell_length_a 4.4325
_cell_length_b 4.4325
_cell_length_c 17.5597
_cell_angle_alpha 90.00
_cell_angle_beta 90.00
_cell_angle_gamma 120.00
_space_group_name_H-M_alt 'R -3 m'
_space_group_IT_number 166
_space_group_name_Hall '-R 3 2"'
loop_
_atom_site_label
_atom_site_type_symbol
_atom_site_fract_x
_atom_site_fract_y
_atom_site_fract_z
La1 La 0.0000 0.0000 0.0000
Te1 Te 0.0000 0.0000 0.2292
Ir1 Ir 0.0000 0.0000 0.5000
```



Below is La3TeIr at its PBEsol-relaxed geometry, with properties calculated at the SCAN level.

Values from the calculation:
Calculated volume = 190 Å³/f.u.
DOS(E_F) = 9.1 states/eV/cell
Total magnetization = 0.000 μB/atom
Raw formation energy = 0.447 eV/atom

Geometry as CIF:
```
data_La3TeIr
_cell_length_a 5.744
_cell_length_b 5.744
_cell_length_c 5.744
_cell_angle_alpha 90.00
_cell_angle_beta 90.00
_cell_angle_gamma 90.00
_space_group_name_H-M_alt 'P m -3 m'
_space_group_IT_number 221
_space_group_name_Hall '-P 4 2 3'
loop_
_atom_site_label
_atom_site_type_symbol
_atom_site_fract_x
_atom_site_fract_y
_atom_site_fract_z
La1 La 0.000 0.000 0.500
Te1 Te 0.000 0.000 0.000
Ir1 Ir 0.500 0.500 0.500
```



Below is La4TeIr at its PBEsol-relaxed geometry, with properties calculated at the SCAN level.

Values from the calculation:
Calculated volume = 162 Å³/f.u.
DOS(E_F) = 29.2 states/eV/cell
Total magnetization = 0.000 μB/atom
Raw formation energy = 0.202 eV/atom

Geometry as CIF:
```
data_La4TeIr
_cell_length_a 8.652
_cell_length_b 8.652
_cell_length_c 8.652
_cell_angle_alpha 90.00
_cell_angle_beta 90.00
_cell_angle_gamma 90.00
_space_group_name_H-M_alt 'F -4 3 m'
_space_group_IT_number 216
_space_group_name_Hall 'F -4 2 3'
loop_
_atom_site_label
_atom_site_type_symbol
_atom_site_fract_x
_atom_site_fract_y
_atom_site_fract_z
La1 La 0.125 0.125 0.125
Te1 Te 0.000 0.000 0.500
Ir1 Ir 0.250 0.250 0.750
```



Below is La2TlIr at its PBEsol-relaxed geometry, with properties calculated at the SCAN level.

Values from the calculation:
Formation enthalpy at 0 K = -0.70 eV/atom
Polymorph energy (0 for the lowest one) = 42 meV per atom
Calculated volume = 104 Å³/f.u.
DOS(E_F) = 2.3 states/eV/cell
Total magnetization = 0.000 μB/atom

Geometry as CIF:
```
data_La2TlIr
_cell_length_a 3.526
_cell_length_b 3.526
_cell_length_c 8.384
_cell_angle_alpha 90.00
_cell_angle_beta 90.00
_cell_angle_gamma 90.00
_space_group_name_H-M_alt 'P 4/m m m'
_space_group_IT_number 123
_space_group_name_Hall '-P 4 2'
loop_
_atom_site_label
_atom_site_type_symbol
_atom_site_fract_x
_atom_site_fract_y
_atom_site_fract_z
La1 La 0.000 0.000 0.205
Tl1 Tl 0.500 0.500 0.500
Ir1 Ir 0.500 0.500 0.000
```



Question: Among the records above, which one has the highest calculated volume?
Answer: La3TeIr



Question: Which formula does entry 4 have?
Answer: La3TeIr



Question: Among the records above, which one has the highest calculated volume?
Answer: La3TeIr